Record 1
{
  "formula": "Tb4Co2I5",
  "functional": "PBE",
  "state": "optimized geometry",
  "e_above_lowest_polymorph_ev_per_atom": 0.000,
  "raw_formation_energy_ev_per_atom": -0.75,
  "magmom_total_mub_per_cell": 0.00,
  "lattice_angstrom": [[11.259, -2.040, 0.000], [11.259, 2.040, 0.000], [-0.880, 0.000, 8.509]],
  "species": ["Tb", "Tb", "Tb", "Tb", "Co", "Co", "I", "I", "I", "I", "I"],
  "frac_coords": [[0.025, 0.025, 0.200], [0.344, 0.344, 0.928], [0.656, 0.656, 0.072], [0.975, 0.975, 0.800], [0.452, 0.452, 0.997], [0.548, 0.548, 0.003], [0.161, 0.161, 0.347], [0.193, 0.193, 0.827], [0.500, 0.500, 0.500], [0.807, 0.807, 0.173], [0.839, 0.839, 0.653]]
}

Record 2
{
  "formula": "Tb3CoI",
  "functional": "PBE",
  "state": "optimized geometry",
  "e_above_lowest_polymorph_ev_per_atom": 0.037,
  "raw_formation_energy_ev_per_atom": -0.36,
  "magmom_total_mub_per_cell": 0.00,
  "lattice_angstrom": [[3.969, 0.000, 0.000], [0.000, 7.057, 0.000], [0.000, 0.000, 9.932]],
  "species": ["Tb", "Tb", "Tb", "Tb", "Tb", "Tb", "Co", "Co", "I", "I"],
  "frac_coords": [[0.250, 0.005, 0.141], [0.250, 0.495, 0.141], [0.250, 0.750, 0.619], [0.750, 0.250, 0.381], [0.750, 0.505, 0.859], [0.750, 0.995, 0.859], [0.250, 0.750, 0.898], [0.750, 0.250, 0.102], [0.250, 0.250, 0.644], [0.750, 0.750, 0.356]]
}

Record 3
{
  "formula": "TbTmCoI",
  "functional": "PBE",
  "state": "optimized geometry",
  "raw_formation_energy_ev_per_atom": -0.56,
  "magmom_total_mub_per_cell": 0.00,
  "lattice_angstrom": [[1.968, 1.136, 7.840], [-1.968, 1.136, 7.840], [0.000, -2.272, 7.840]],
  "species": ["Tb", "Tm", "Co", "I"],
  "frac_coords": [[0.000, 0.000, 0.000], [0.215, 0.215, 0.215], [0.607, 0.607, 0.607], [0.776, 0.776, 0.776]]
}

Record 4
{
  "formula": "CoTc2I",
  "functional": "PBE",
  "state": "optimized geometry",
  "e_above_lowest_polymorph_ev_per_atom": 0.373,
  "raw_formation_energy_ev_per_atom": 1.20,
  "magmom_total_mub_per_cell": 0.00,
  "lattice_angstrom": [[-2.776, 2.776, 5.604], [2.776, -2.776, 5.604], [2.776, 2.776, -5.604]],
  "species": ["Co", "Co", "Tc", "Tc", "Tc", "Tc", "I", "I"],
  "frac_coords": [[0.000, 0.000, 0.000], [0.750, 0.250, 0.500], [0.064, 0.625, 0.939], [0.375, 0.314, 0.439], [0.686, 0.125, 0.061], [0.875, 0.936, 0.561], [0.250, 0.750, 0.500], [0.500, 0.500, 0.000]]
}

Record 5
{
  "formula": "CoTc2I",
  "functional": "PBE",
  "state": "optimized geometry",
  "e_above_lowest_polymorph_ev_per_atom": 0.000,
  "raw_formation_energy_ev_per_atom": 0.83,
  "magmom_total_mub_per_cell": 1.56,
  "lattice_angstrom": [[0.000, 3.117, 3.117], [3.117, 0.000, 3.117], [3.117, 3.117, 0.000]],
  "species": ["Co", "Tc", "Tc", "I"],
  "frac_coords": [[0.000, 0.000, 0.000], [0.250, 0.250, 0.250], [0.750, 0.750, 0.750], [0.500, 0.500, 0.500]]
}

Record 6
{
  "formula": "CoTcI3",
  "functional": "PBE",
  "state": "optimized geometry",
  "e_above_lowest_polymorph_ev_per_atom": 0.000,
  "raw_formation_energy_ev_per_atom": 0.98,
  "magmom_total_mub_per_cell": 5.90,
  "lattice_angstrom": [[5.259, 0.000, 0.000], [0.000, 5.259, 0.000], [0.000, 0.000, 5.259]],
  "species": ["Co", "Tc", "I", "I", "I"],
  "frac_coords": [[0.000, 0.000, 0.000], [0.500, 0.500, 0.500], [0.000, 0.000, 0.500], [0.000, 0.500, 0.000], [0.500, 0.000, 0.000]]
}

Record 7
{
  "formula": "CoTcI3",
  "functional": "PBE",
  "state": "optimized geometry",
  "e_above_lowest_polymorph_ev_per_atom": 0.150,
  "raw_formation_energy_ev_per_atom": 1.13,
  "magmom_total_mub_per_cell": 2.60,
  "lattice_angstrom": [[5.409, 0.000, 0.000], [0.000, 5.409, 0.000], [0.000, 0.000, 5.409]],
  "species": ["Co", "Tc", "I", "I", "I"],
  "frac_coords": [[0.000, 0.000, 0.000], [0.500, 0.500, 0.500], [0.000, 0.500, 0.500], [0.500, 0.000, 0.500], [0.500, 0.500, 0.000]]
}

Record 8
{
  "formula": "CoTcTe2I",
  "functional": "PBE",
  "state": "optimized geometry",
  "e_above_lowest_polymorph_ev_per_atom": 0.000,
  "raw_formation_energy_ev_per_atom": 1.01,
  "magmom_total_mub_per_cell": 3.75,
  "lattice_angstrom": [[5.007, 0.000, 0.000], [0.000, 5.007, 0.000], [0.000, 0.000, 5.299]],
  "species": ["Co", "Tc", "Te", "Te", "I"],
  "frac_coords": [[0.000, 0.000, 0.000], [0.500, 0.500, 0.500], [0.000, 0.500, 0.000], [0.500, 0.000, 0.000], [0.000, 0.000, 0.500]]
}

Record 9
{
  "formula": "CoTcTe2I",
  "functional": "PBE",
  "state": "optimized geometry",
  "e_above_lowest_polymorph_ev_per_atom": 0.003,
  "raw_formation_energy_ev_per_atom": 1.01,
  "magmom_total_mub_per_cell": 2.28,
  "lattice_angstrom": [[5.107, 0.000, 0.000], [0.000, 5.107, 0.000], [0.000, 0.000, 5.784]],
  "species": ["Co", "Tc", "Te", "Te", "I"],
  "frac_coords": [[0.000, 0.000, 0.000], [0.500, 0.500, 0.500], [0.000, 0.500, 0.500], [0.500, 0.000, 0.500], [0.500, 0.500, 0.000]]
}

Record 10
{
  "formula": "CoTc2TeI",
  "functional": "PBE",
  "state": "optimized geometry",
  "raw_formation_energy_ev_per_atom": 1.69,
  "magmom_total_mub_per_cell": 4.88,
  "lattice_angstrom": [[5.007, 0.000, 0.000], [0.000, 5.007, 0.000], [0.000, 0.000, 4.545]],
  "species": ["Co", "Tc", "Tc", "Te", "I"],
  "frac_coords": [[0.000, 0.000, 0.000], [0.000, 0.500, 0.500], [0.500, 0.000, 0.500], [0.500, 0.500, 0.000], [0.000, 0.000, 0.500]]
}

Record 11
{
  "formula": "Tl2CoTcI",
  "functional": "PBE",
  "state": "optimized geometry",
  "raw_formation_energy_ev_per_atom": 1.12,
  "magmom_total_mub_per_cell": 4.32,
  "lattice_angstrom": [[5.088, 0.000, 0.000], [0.000, 5.088, 0.000], [0.000, 0.000, 5.127]],
  "species": ["Tl", "Tl", "Co", "Tc", "I"],
  "frac_coords": [[0.000, 0.500, 0.000], [0.500, 0.000, 0.000], [0.000, 0.000, 0.000], [0.500, 0.500, 0.500], [0.000, 0.000, 0.500]]
}

Record 12
{
  "formula": "YCoTc2I",
  "functional": "PBE",
  "state": "optimized geometry",
  "raw_formation_energy_ev_per_atom": 0.87,
  "magmom_total_mub_per_cell": 0.00,
  "lattice_angstrom": [[4.518, 0.000, 0.000], [0.000, 4.518, 0.000], [0.000, 0.000, 5.074]],
  "species": ["Y", "Co", "Tc", "Tc", "I"],
  "frac_coords": [[0.000, 0.000, 0.000], [0.500, 0.500, 0.500], [0.000, 0.500, 0.500], [0.500, 0.000, 0.500], [0.500, 0.500, 0.000]]
}

Record 13
{
  "formula": "CoTe2I",
  "functional": "PBE",
  "state": "optimized geometry",
  "e_above_lowest_polymorph_ev_per_atom": 0.296,
  "raw_formation_energy_ev_per_atom": 0.14,
  "magmom_total_mub_per_cell": 0.00,
  "lattice_angstrom": [[-4.709, 4.709, 3.014], [4.709, -4.709, 3.014], [4.709, 4.709, -3.014]],
  "species": ["Co", "Co", "Te", "Te", "Te", "Te", "I", "I"],
  "frac_coords": [[0.250, 0.750, 0.500], [0.750, 0.250, 0.500], [0.141, 0.641, 0.782], [0.359, 0.141, 0.500], [0.641, 0.859, 0.500], [0.859, 0.359, 0.218], [0.250, 0.250, 0.000], [0.750, 0.750, 0.000]]
}

Record 14
{
  "formula": "CoTe2I",
  "functional": "PBE",
  "state": "optimized geometry",
  "e_above_lowest_polymorph_ev_per_atom": 0.000,
  "raw_formation_energy_ev_per_atom": -0.15,
  "magmom_total_mub_per_cell": 0.00,
  "lattice_angstrom": [[3.758, 0.000, 0.000], [1.870, 6.478, 0.000], [0.019, 0.853, 10.918]],
  "species": ["Co", "Co", "Te", "Te", "Te", "Te", "I", "I"],
  "frac_coords": [[0.164, 0.173, 0.379], [0.836, 0.827, 0.621], [0.201, 0.098, 0.606], [0.468, 0.562, 0.624], [0.532, 0.438, 0.376], [0.799, 0.902, 0.394], [0.151, 0.203, 0.142], [0.849, 0.797, 0.858]]
}

Record 15
{
  "formula": "CoTe2I",
  "functional": "PBE",
  "state": "optimized geometry",
  "e_above_lowest_polymorph_ev_per_atom": 0.268,
  "raw_formation_energy_ev_per_atom": 0.12,
  "magmom_total_mub_per_cell": 0.00,
  "lattice_angstrom": [[7.567, 0.000, 0.000], [0.000, 4.586, 0.000], [0.000, 0.000, 12.787]],
  "species": ["Co", "Co", "Co", "Co", "Te", "Te", "Te", "Te", "Te", "Te", "Te", "Te", "I", "I", "I", "I"],
  "frac_coords": [[0.026, 0.250, 0.131], [0.474, 0.750, 0.631], [0.526, 0.250, 0.369], [0.974, 0.750, 0.869], [0.111, 0.750, 0.058], [0.248, 0.250, 0.273], [0.252, 0.750, 0.773], [0.389, 0.250, 0.558], [0.611, 0.750, 0.442], [0.748, 0.250, 0.227], [0.752, 0.750, 0.727], [0.889, 0.250, 0.942], [0.051, 0.750, 0.398], [0.449, 0.250, 0.898], [0.551, 0.750, 0.102], [0.949, 0.250, 0.602]]
}

Record 16
{
  "formula": "CoTe2I",
  "functional": "PBE",
  "state": "optimized geometry",
  "e_above_lowest_polymorph_ev_per_atom": 0.359,
  "raw_formation_energy_ev_per_atom": 0.21,
  "magmom_total_mub_per_cell": 0.00,
  "lattice_angstrom": [[3.417, 0.000, 0.000], [-1.709, 2.959, 0.000], [0.000, 0.000, 11.915]],
  "species": ["Co", "Te", "Te", "I"],
  "frac_coords": [[0.000, 0.000, 0.000], [0.000, 0.000, 0.211], [0.333, 0.667, 0.879], [0.667, 0.333, 0.564]]
}

Record 17
{
  "formula": "CoTe2I",
  "functional": "PBE",
  "state": "optimized geometry",
  "e_above_lowest_polymorph_ev_per_atom": 1.011,
  "raw_formation_energy_ev_per_atom": 0.86,
  "magmom_total_mub_per_cell": 2.02,
  "lattice_angstrom": [[5.543, 0.000, 0.000], [0.000, 5.543, 0.000], [0.000, 0.000, 3.363]],
  "species": ["Co", "Te", "Te", "I"],
  "frac_coords": [[0.000, 0.000, 0.000], [0.000, 0.500, 0.500], [0.500, 0.000, 0.500], [0.500, 0.500, 0.000]]
}

Record 18
{
  "formula": "CoTe2I",
  "functional": "PBE",
  "state": "optimized geometry",
  "e_above_lowest_polymorph_ev_per_atom": 0.186,
  "raw_formation_energy_ev_per_atom": 0.03,
  "magmom_total_mub_per_cell": 0.00,
  "lattice_angstrom": [[4.174, -6.177, 0.000], [4.174, 6.177, 0.000], [-0.861, 0.000, 5.144]],
  "species": ["Co", "Co", "Te", "Te", "Te", "Te", "I", "I"],
  "frac_coords": [[0.007, 0.993, 0.750], [0.993, 0.007, 0.250], [0.053, 0.288, 0.561], [0.288, 0.053, 0.061], [0.712, 0.947, 0.939], [0.947, 0.712, 0.439], [0.343, 0.657, 0.250], [0.657, 0.343, 0.750]]
}

Record 19
{
  "formula": "CoTe2I",
  "functional": "PBE",
  "state": "optimized geometry",
  "e_above_lowest_polymorph_ev_per_atom": 0.054,
  "raw_formation_energy_ev_per_atom": -0.10,
  "magmom_total_mub_per_cell": 0.00,
  "lattice_angstrom": [[3.855, 0.000, 0.000], [-1.927, 3.390, 0.000], [-0.041, -1.363, 7.981]],
  "species": ["Co", "Te", "Te", "I"],
  "frac_coords": [[0.000, 0.000, 0.000], [0.300, 0.603, 0.843], [0.700, 0.397, 0.156], [0.499, 0.001, 0.500]]
}

Record 20
{
  "formula": "Co2Te2I",
  "functional": "PBE",
  "state": "optimized geometry",
  "e_above_lowest_polymorph_ev_per_atom": 0.000,
  "raw_formation_energy_ev_per_atom": 0.37,
  "magmom_total_mub_per_cell": 0.00,
  "lattice_angstrom": [[7.762, 0.000, 0.000], [0.000, 7.762, 0.000], [0.000, 0.000, 3.484]],
  "species": ["Co", "Co", "Co", "Co", "Te", "Te", "Te", "Te", "I", "I"],
  "frac_coords": [[0.116, 0.384, 0.000], [0.384, 0.884, 0.000], [0.616, 0.116, 0.000], [0.884, 0.616, 0.000], [0.139, 0.639, 0.500], [0.361, 0.139, 0.500], [0.639, 0.861, 0.500], [0.861, 0.361, 0.500], [0.000, 0.000, 0.000], [0.500, 0.500, 0.000]]
}

Record 21
{
  "formula": "CoTeI",
  "functional": "PBE",
  "state": "optimized geometry",
  "raw_formation_energy_ev_per_atom": -0.13,
  "magmom_total_mub_per_cell": 0.00,
  "lattice_angstrom": [[6.719, 0.000, 0.000], [0.000, 3.778, 0.000], [-0.193, 0.000, 6.873]],
  "species": ["Co", "Co", "Te", "Te", "I", "I"],
  "frac_coords": [[0.245, 0.250, 0.499], [0.755, 0.750, 0.501], [0.084, 0.750, 0.682], [0.916, 0.250, 0.318], [0.414, 0.750, 0.284], [0.586, 0.250, 0.716]]
}

Record 22
{
  "formula": "CoTe2I",
  "functional": "PBE",
  "state": "optimized geometry",
  "e_above_lowest_polymorph_ev_per_atom": 0.197,
  "raw_formation_energy_ev_per_atom": 0.04,
  "magmom_total_mub_per_cell": 0.00,
  "lattice_angstrom": [[4.477, -4.799, 0.000], [4.477, 4.799, 0.000], [-2.303, 0.000, 5.610]],
  "species": ["Co", "Co", "Te", "Te", "Te", "Te", "I", "I"],
  "frac_coords": [[0.040, 0.960, 0.750], [0.960, 0.040, 0.250], [0.128, 0.290, 0.075], [0.290, 0.128, 0.575], [0.710, 0.872, 0.425], [0.872, 0.710, 0.925], [0.318, 0.682, 0.750], [0.682, 0.318, 0.250]]
}

Record 23
{
  "formula": "CoTe2I",
  "functional": "PBE",
  "state": "optimized geometry",
  "e_above_lowest_polymorph_ev_per_atom": 1.011,
  "raw_formation_energy_ev_per_atom": 0.86,
  "magmom_total_mub_per_cell": 1.44,
  "lattice_angstrom": [[0.000, 3.696, 3.696], [3.696, 0.000, 3.696], [3.696, 3.696, 0.000]],
  "species": ["Co", "Te", "Te", "I"],
  "frac_coords": [[0.000, 0.000, 0.000], [0.250, 0.250, 0.250], [0.750, 0.750, 0.750], [0.500, 0.500, 0.500]]
}

Record 24
{
  "formula": "CoTe2I",
  "functional": "PBE",
  "state": "optimized geometry",
  "e_above_lowest_polymorph_ev_per_atom": 0.110,
  "raw_formation_energy_ev_per_atom": -0.04,
  "magmom_total_mub_per_cell": 0.00,
  "lattice_angstrom": [[-3.319, 3.911, 4.487], [3.319, -3.911, 4.487], [3.319, 3.911, -4.487]],
  "species": ["Co", "Co", "Te", "Te", "Te", "Te", "I", "I"],
  "frac_coords": [[0.500, 0.000, 0.000], [0.500, 0.500, 0.500], [0.173, 0.158, 0.015], [0.358, 0.842, 0.515], [0.642, 0.158, 0.485], [0.827, 0.842, 0.985], [0.279, 0.529, 0.750], [0.721, 0.471, 0.250]]
}

Record 25
{
  "formula": "CoTe2I",
  "functional": "PBE",
  "state": "optimized geometry",
  "e_above_lowest_polymorph_ev_per_atom": 0.077,
  "raw_formation_energy_ev_per_atom": -0.08,
  "magmom_total_mub_per_cell": 0.00,
  "lattice_angstrom": [[6.653, 0.000, 0.000], [0.000, 5.240, 0.000], [0.000, 0.000, 12.097]],
  "species": ["Co", "Co", "Co", "Co", "Te", "Te", "Te", "Te", "Te", "Te", "Te", "Te", "I", "I", "I", "I"],
  "frac_coords": [[0.250, 0.000, 0.087], [0.250, 0.500, 0.413], [0.750, 0.000, 0.913], [0.750, 0.500, 0.587], [0.071, 0.240, 0.562], [0.071, 0.260, 0.938], [0.429, 0.740, 0.938], [0.429, 0.760, 0.562], [0.571, 0.240, 0.438], [0.571, 0.260, 0.062], [0.929, 0.740, 0.062], [0.929, 0.760, 0.438], [0.058, 0.250, 0.250], [0.442, 0.750, 0.250], [0.558, 0.250, 0.750], [0.942, 0.750, 0.750]]
}